DFT (PBE with a Hubbard U) results for K2CaVO after structural relaxation.

Values from the calculation:
Raw total energy (eV per atom): -3.527
Magnetic moment (μB/atom): 0.427
Crystal system: tetragonal

Unit cell a=6.875 b=3.807 c=6.875 alpha=90.00 beta=90.00 gamma=90.00
Positions (direct):
Ca: 0.500 0.500 0.500
K: 0.000 0.000 0.500
K: 0.500 0.000 0.000
O: 0.000 0.000 0.000
V: 0.000 0.500 0.000

DFT (PBE with a Hubbard U) results for K3CaV2O8 after structural relaxation.

Values from the calculation:
Raw total energy (eV per atom): -6.339
Magnetic moment (μB/atom): 0.079
Crystal system: trigonal

Unit cell a=6.050 b=6.050 c=7.716 alpha=90.00 beta=90.00 gamma=120.00
Positions (direct):
K: 0.333 0.667 0.677
K: 0.667 0.333 0.323
K: 0.000 0.000 0.000
Ca: 0.000 0.000 0.500
V: 0.333 0.667 0.236
V: 0.667 0.333 0.764
O: 0.333 0.667 0.013
O: 0.667 0.333 0.987
O: 0.177 0.823 0.315
O: 0.823 0.177 0.685
O: 0.177 0.354 0.315
O: 0.823 0.646 0.685
O: 0.646 0.823 0.315
O: 0.354 0.177 0.685

DFT (PBE with a Hubbard U) results for KCaVO4 after structural relaxation.

Values from the calculation:
Raw total energy (eV per atom): -6.684
Magnetic moment (μB/atom): 0.000
Crystal system: monoclinic

Unit cell a=5.875 b=5.980 c=7.282 alpha=90.00 beta=105.77 gamma=90.00
Positions (direct):
K: 0.706 0.750 0.928
K: 0.294 0.250 0.072
Ca: 0.797 0.750 0.454
Ca: 0.203 0.250 0.546
V: 0.259 0.750 0.334
V: 0.741 0.250 0.666
O: 0.935 0.479 0.691
O: 0.065 0.979 0.309
O: 0.065 0.521 0.309
O: 0.935 0.021 0.691
O: 0.446 0.750 0.186
O: 0.554 0.250 0.814
O: 0.445 0.750 0.562
O: 0.555 0.250 0.438

DFT (PBE with a Hubbard U) results for KCa10V7O28 after structural relaxation.

Values from the calculation:
Raw total energy (eV per atom): -7.176
Magnetic moment (μB/atom): 0.000
Crystal system: trigonal

Unit cell a=14.245 b=14.245 c=14.245 alpha=45.59 beta=45.59 gamma=45.59
Positions (direct):
K: 0.297 0.297 0.297
K: 0.797 0.797 0.797
Ca: 0.481 0.481 0.481
Ca: 0.637 0.082 0.020
Ca: 0.912 0.324 0.914
Ca: 0.020 0.637 0.082
Ca: 0.914 0.912 0.324
Ca: 0.422 0.001 0.046
Ca: 0.824 0.412 0.414
Ca: 0.412 0.414 0.824
Ca: 0.082 0.020 0.637
Ca: 0.324 0.914 0.912
Ca: 0.981 0.981 0.981
Ca: 0.582 0.137 0.520
Ca: 0.520 0.582 0.137
Ca: 0.137 0.520 0.582
Ca: 0.922 0.546 0.501
Ca: 0.001 0.046 0.422
Ca: 0.501 0.922 0.546
Ca: 0.414 0.824 0.412
Ca: 0.046 0.422 0.001
Ca: 0.546 0.501 0.922
V: 0.669 0.712 0.157
V: 0.212 0.169 0.657
V: 0.305 0.246 0.795
V: 0.157 0.669 0.712
V: 0.746 0.805 0.295
V: 0.805 0.295 0.746
V: 0.795 0.305 0.246
V: 0.712 0.712 0.712
V: 0.246 0.795 0.305
V: 0.657 0.212 0.169
V: 0.169 0.657 0.212
V: 0.295 0.746 0.805
V: 0.712 0.157 0.669
V: 0.212 0.212 0.212
O: 0.625 0.342 0.811
O: 0.070 0.856 0.643
O: 0.082 0.600 0.728
O: 0.104 0.116 0.843
O: 0.059 0.861 0.397
O: 0.881 0.579 0.715
O: 0.166 0.166 0.166
O: 0.107 0.823 0.884
O: 0.100 0.582 0.228
O: 0.582 0.228 0.100
O: 0.843 0.104 0.116
O: 0.356 0.570 0.143
O: 0.643 0.070 0.856
O: 0.604 0.343 0.616
O: 0.367 0.802 0.809
O: 0.323 0.607 0.384
O: 0.649 0.386 0.078
O: 0.386 0.078 0.649
O: 0.842 0.125 0.311
O: 0.666 0.666 0.666
O: 0.600 0.728 0.082
O: 0.384 0.323 0.607
O: 0.715 0.881 0.579
O: 0.342 0.811 0.625
O: 0.861 0.397 0.059
O: 0.728 0.082 0.600
O: 0.125 0.311 0.842
O: 0.811 0.625 0.342
O: 0.579 0.715 0.881
O: 0.361 0.559 0.897
O: 0.381 0.215 0.079
O: 0.823 0.884 0.107
O: 0.802 0.809 0.367
O: 0.607 0.384 0.323
O: 0.867 0.309 0.302
O: 0.809 0.367 0.802
O: 0.143 0.356 0.570
O: 0.343 0.616 0.604
O: 0.397 0.059 0.861
O: 0.149 0.578 0.886
O: 0.616 0.604 0.343
O: 0.886 0.149 0.578
O: 0.856 0.643 0.070
O: 0.559 0.897 0.361
O: 0.578 0.886 0.149
O: 0.215 0.079 0.381
O: 0.311 0.842 0.125
O: 0.302 0.867 0.309
O: 0.228 0.100 0.582
O: 0.884 0.107 0.823
O: 0.309 0.302 0.867
O: 0.079 0.381 0.215
O: 0.078 0.649 0.386
O: 0.116 0.843 0.104
O: 0.570 0.143 0.356
O: 0.897 0.361 0.559

Which of these has the highest raw total energy? K2CaVO